No. 1
Compound: FeNiAu2
Source: Alexandria
Functional: PBE
Structure: relaxed

**DFT formation energy**: 0.11 eV/atom

Cell lengths 4.8410, 4.8410, 4.6996 Å; angles 76.21, 76.21, 34.01 degrees
Fractional coordinates of all 4 atoms:
Au 0.0107 0.0107 0.9754
Ni 0.7651 0.7651 0.7461
Au 0.2401 0.2401 0.2749
Fe 0.4841 0.4841 0.5036



No. 2
Compound: K2InCl
Source: Alexandria
Functional: PBE
Structure: relaxed

**E_form (uncorrected)**: -83.24 kJ/mol of atoms

Cell lengths 4.1234, 4.1234, 10.2286 Å; angles 78.72, 78.72, 59.42 degrees
Fractional coordinates of all 4 atoms:
Cl 0.7500 0.7500 0.7500
K 0.4831 0.4831 0.5486
K 0.0169 0.0169 0.9514
In 0.2500 0.2500 0.2500